Record 1
SiBiS2Cl | PBE | relaxed

Structure (extended XYZ):
```
5
Lattice="4.7303 0.0000 0.0000 0.0000 4.7303 0.0000 0.0000 0.0000 4.5871" Properties=species:S:1:pos:R:3 pbc="T T T"
Si 0.0000 0.0000 0.0000
Bi 2.3652 2.3652 2.2936
S 0.0000 2.3652 0.0000
S 2.3652 0.0000 0.0000
Cl 0.0000 0.0000 2.2936
```

Computed properties:
The value obtained for the energy relative to the elements, uncorrected is -0.07 eV per atom. For the energy above the most stable polymorph in this dataset, the calculation gives 0.000 eV/atom. The value obtained for the total energy is -19.775 eV for the cell shown.

Record 2
KS2I | PBE | relaxed

Structure (extended XYZ):
```
4
Lattice="2.1216 1.2249 9.0728 -2.1216 1.2249 9.0728 0.0000 -2.4498 9.0728" Properties=species:S:1:pos:R:3 pbc="T T T"
K 0.0000 0.0000 0.0000
S 0.0000 0.0000 11.1344
S 0.0000 0.0000 16.0840
I 0.0000 0.0000 13.6092
```

Computed properties:
The value obtained for the energy relative to the elements, uncorrected is 0.00 eV per atom. For the energy above the most stable polymorph in this dataset, the calculation gives 0.035 eV/atom. The value obtained for the total energy is -10.887 eV for the cell shown.